Below is K2YGaI6 after structural relaxation, with properties calculated at the PBE-GGA level.

a = 8.547 Å, b = 8.547 Å, c = 8.782 Å
α = 60.88°, β = 60.87°, γ = 59.99°
Fractional coordinates of all 10 atoms:
K1 0.533 0.533 0.401
K2 0.025 0.025 0.926
Y1 0.324 0.324 0.028
Ga1 0.818 0.818 0.545
I1 0.566 0.186 0.262
I2 0.186 0.985 0.262
I3 0.985 0.566 0.262
I4 0.456 0.669 0.776
I5 0.669 0.099 0.776
I6 0.099 0.456 0.776

The density of states at the Fermi level comes out at 0.00 states/eV/f.u. The uncorrected formation energy is -1.22 eV per atom. As for the symmetry: No. 146. The calculated total energy is -33.2 eV per cell.

---

Below is KYGa2I6 after structural relaxation, with properties calculated at the PBE-GGA level.

a = 8.271 Å, b = 8.269 Å, c = 8.892 Å
α = 62.26°, β = 62.26°, γ = 59.96°
Fractional coordinates of all 10 atoms:
K1 0.817 0.817 0.549
Y1 0.327 0.327 0.020
Ga1 0.512 0.512 0.464
Ga2 0.005 0.005 0.986
I1 0.571 0.241 0.236
I2 0.241 0.951 0.236
I3 0.951 0.571 0.236
I4 0.384 0.716 0.762
I5 0.716 0.137 0.763
I6 0.138 0.384 0.763

The density of states at the Fermi level comes out at 0.00 states/eV/f.u. The uncorrected formation energy is -0.99 eV per atom. As for the symmetry: No. 146. The calculated total energy is -32.8 eV per cell.

---

Below is KZrGaI6 after structural relaxation, with properties calculated at the PBE-GGA level.

a = 8.014 Å, b = 8.014 Å, c = 14.989 Å
α = 90.00°, β = 90.00°, γ = 120.00°
Fractional coordinates of all 18 atoms:
K1 0.000 0.000 0.000
K2 0.000 0.000 0.500
Zr1 0.667 0.333 0.250
Zr2 0.333 0.667 0.750
Ga1 0.333 0.667 0.250
Ga2 0.667 0.333 0.750
I1 0.652 0.620 0.139
I2 0.968 0.348 0.139
I3 0.348 0.968 0.639
I4 0.032 0.652 0.861
I5 0.380 0.348 0.361
I6 0.968 0.620 0.361
I7 0.620 0.968 0.861
I8 0.652 0.032 0.361
I9 0.032 0.380 0.639
I10 0.380 0.032 0.139
I11 0.620 0.652 0.639
I12 0.348 0.380 0.861

The uncorrected formation energy is -0.92 eV per atom. As for the symmetry: No. 163. The calculated total energy is -60.4 eV per cell.

---

Below is La7GaI12 after structural relaxation, with properties calculated at the PBE-GGA level.

a = 10.173 Å, b = 10.173 Å, c = 10.173 Å
α = 107.89°, β = 107.89°, γ = 107.89°
Fractional coordinates of all 20 atoms:
La1 0.962 0.676 0.889
La2 0.324 0.111 0.038
La3 0.111 0.038 0.324
La4 0.500 0.500 0.500
La5 0.889 0.962 0.676
La6 0.676 0.889 0.962
La7 0.038 0.324 0.111
Ga1 0.000 0.000 0.000
I1 0.922 0.311 0.770
I2 0.689 0.230 0.078
I3 0.475 0.155 0.393
I4 0.845 0.607 0.525
I5 0.230 0.078 0.689
I6 0.607 0.525 0.845
I7 0.393 0.475 0.155
I8 0.770 0.922 0.311
I9 0.155 0.393 0.475
I10 0.525 0.845 0.607
I11 0.311 0.770 0.922
I12 0.078 0.689 0.230

The density of states at the Fermi level comes out at 13.14 states/eV/f.u. The uncorrected formation energy is -1.35 eV per atom. As for the symmetry: No. 148. The calculated total energy is -83.1 eV per cell.

---

Below is LaGa2I6 after structural relaxation, with properties calculated at the PBE-GGA level.

a = 5.521 Å, b = 7.944 Å, c = 10.529 Å
α = 92.09°, β = 90.00°, γ = 110.33°
Fractional coordinates of all 9 atoms:
La1 0.000 0.000 0.500
Ga1 0.733 0.466 0.838
Ga2 0.267 0.534 0.162
I1 0.921 0.842 0.768
I2 0.799 0.597 0.141
I3 0.201 0.403 0.859
I4 0.624 0.248 0.564
I5 0.376 0.752 0.436
I6 0.079 0.158 0.232

The density of states at the Fermi level comes out at 1.34 states/eV/f.u. The uncorrected formation energy is -0.78 eV per atom. As for the symmetry: No. 12. The calculated total energy is -27.3 eV per cell.

---

Below is La2GaI2 after structural relaxation, with properties calculated at the PBE-GGA level.

a = 6.165 Å, b = 6.165 Å, c = 6.464 Å
α = 61.52°, β = 61.52°, γ = 90.00°
Fractional coordinates of all 5 atoms:
I1 0.322 0.322 0.357
I2 0.678 0.678 0.643
Ga1 0.000 0.000 0.000
La1 0.750 0.250 0.500
La2 0.250 0.750 0.500

The density of states at the Fermi level comes out at 2.65 states/eV/f.u. The uncorrected formation energy is -0.55 eV per atom. As for the symmetry: No. 139. The calculated total energy is -18.7 eV per cell.

---

Number 1: total magnetic moment 0.00 μB/atom. Number 2: total magnetic moment 0.00 μB/atom. Number 3: total magnetic moment 0.00 μB/atom. Number 4: total magnetic moment 0.00 μB/atom. Number 5: total magnetic moment 0.00 μB/atom. Number 6: total magnetic moment 0.00 μB/atom.